Entry one
Tb2NdIr | PBE-GGA | relaxed

The structure in CIF format:
```
data_Tb2NdIr
_chemical_formula_sum 'Tb2 Nd1 Ir1'
_symmetry_space_group_name_H-M 'P 1'
_symmetry_Int_Tables_number 1
_symmetry_space_group_name_Hall 'P 1'
_cell_length_a 4.015
_cell_length_b 4.015
_cell_length_c 9.232
_cell_angle_alpha 77.44
_cell_angle_beta 77.44
_cell_angle_gamma 60.00
loop_
_atom_site_label
_atom_site_type_symbol
_atom_site_fract_x
_atom_site_fract_y
_atom_site_fract_z
Tb1 Tb 0.055 0.055 0.834
Tb2 Tb 0.277 0.277 0.169
Ir1 Ir 0.666 0.666 0.002
Nd1 Nd 0.502 0.502 0.495
```

Output
Space-group type: R3m, No. 160

Entry two
Tb2NdIr | PBE-GGA | relaxed

The structure in CIF format:
```
data_Tb2NdIr
_chemical_formula_sum 'Tb2 Nd1 Ir1'
_symmetry_space_group_name_H-M 'P 1'
_symmetry_Int_Tables_number 1
_symmetry_space_group_name_Hall 'P 1'
_cell_length_a 3.822
_cell_length_b 3.822
_cell_length_c 10.813
_cell_angle_alpha 79.82
_cell_angle_beta 79.82
_cell_angle_gamma 60.00
loop_
_atom_site_label
_atom_site_type_symbol
_atom_site_fract_x
_atom_site_fract_y
_atom_site_fract_z
Tb1 Tb 0.115 0.115 0.654
Tb2 Tb 0.885 0.885 0.346
Ir1 Ir 0.500 0.500 0.500
Nd1 Nd 0.000 0.000 0.000
```

Output
Space-group type: R-3m, No. 166

If you had to bet on the most stable structure above, which would it be? Bet on entry one.